First-principles (PBE) data for crystalline LaTb5NdDy2 at its relaxed geometry, as listed in Alexandria via LeMat-Bulk.

a = 9.925 Å, b = 9.925 Å, c = 9.925 Å
α = 127.30°, β = 127.30°, γ = 77.76°
Sites, in units of the cell vectors:
La: 0.250 0.250 0.000
La: 0.750 0.750 0.000
Tb: 0.000 0.000 0.000
Tb: 0.069 0.569 0.903
Tb: 0.166 0.069 0.500
Tb: 0.334 0.834 0.903
Tb: 0.431 0.334 0.500
Tb: 0.500 0.500 0.000
Tb: 0.569 0.666 0.500
Tb: 0.666 0.166 0.097
Tb: 0.834 0.931 0.500
Tb: 0.931 0.431 0.097
Nd: 0.250 0.750 0.500
Nd: 0.750 0.250 0.500
Dy: 0.117 0.383 0.500
Dy: 0.383 0.883 0.266
Dy: 0.617 0.117 0.734
Dy: 0.883 0.617 0.500

Values from the calculation:
As for the symmetry: I4/mcm (140). The value obtained for the density of states at the Fermi level is 1.29 states/eV/atom. For the energy relative to the elements, the calculation gives 2.441 eV/f.u. Its total DFT energy (no corrections) is -4.401 eV per atom. The value obtained for the density is 7.8 g/cm3.

***

First-principles (PBE) data for crystalline LaTb6Nd3Dy2 at its relaxed geometry, as listed in Alexandria via LeMat-Bulk.

a = 6.248 Å, b = 6.248 Å, c = 11.933 Å
α = 94.99°, β = 94.99°, γ = 119.98°
Sites, in units of the cell vectors:
La: 0.000 0.000 0.000
Tb: 0.083 0.418 0.249
Tb: 0.251 0.251 0.751
Tb: 0.418 0.083 0.249
Tb: 0.582 0.917 0.751
Tb: 0.749 0.749 0.249
Tb: 0.917 0.582 0.751
Nd: 0.167 0.833 0.500
Nd: 0.500 0.500 0.500
Nd: 0.833 0.167 0.500
Dy: 0.333 0.667 0.000
Dy: 0.667 0.333 0.000

Values from the calculation:
As for the symmetry: C2/m (12). The value obtained for the density of states at the Fermi level is 1.31 states/eV/atom. For the energy relative to the elements, the calculation gives 0.200 eV/f.u. Its total DFT energy (no corrections) is -4.668 eV per atom. The value obtained for the density is 7.7 g/cm3.

***

First-principles (PBE) data for crystalline La4Tb2Nd2Dy at its relaxed geometry, as listed in Alexandria via LeMat-Bulk.

a = 8.209 Å, b = 8.209 Å, c = 8.182 Å
α = 107.63°, β = 107.63°, γ = 36.90°
Sites, in units of the cell vectors:
La: 0.054 0.054 0.332
La: 0.277 0.277 0.667
La: 0.723 0.723 0.333
La: 0.946 0.946 0.668
Tb: 0.389 0.389 0.330
Tb: 0.611 0.611 0.670
Nd: 0.166 0.166 0.000
Nd: 0.834 0.834 0.000
Dy: 0.500 0.500 0.000

Values from the calculation:
As for the symmetry: C2/m (12). The value obtained for the density of states at the Fermi level is 1.71 states/eV/atom. For the energy relative to the elements, the calculation gives 0.192 eV/f.u. Its total DFT energy (no corrections) is -4.768 eV per atom. The value obtained for the density is 7.0 g/cm3.

***

First-principles (PBE) data for crystalline LaTb2Nd4Dy at its relaxed geometry, as listed in Alexandria via LeMat-Bulk.

a = 6.291 Å, b = 3.658 Å, c = 12.071 Å
α = 90.00°, β = 100.20°, γ = 90.00°
Sites, in units of the cell vectors:
La: 0.000 0.000 0.000
Tb: 0.000 0.500 0.500
Tb: 0.500 0.000 0.500
Nd: 0.249 0.000 0.748
Nd: 0.252 0.500 0.254
Nd: 0.748 0.500 0.746
Nd: 0.751 0.000 0.252
Dy: 0.500 0.500 0.000

Values from the calculation:
As for the symmetry: P2/m (10). The value obtained for the density of states at the Fermi level is 1.49 states/eV/atom. For the energy relative to the elements, the calculation gives 0.137 eV/f.u. Its total DFT energy (no corrections) is -4.716 eV per atom. The value obtained for the density is 7.3 g/cm3.

***

First-principles (PBE) data for crystalline La2Tb3NdDy6 at its relaxed geometry, as listed in Alexandria via LeMat-Bulk.

a = 6.233 Å, b = 6.233 Å, c = 11.867 Å
α = 95.01°, β = 95.01°, γ = 120.00°
Sites, in units of the cell vectors:
La: 0.167 0.833 0.000
La: 0.833 0.167 0.000
Tb: 0.000 0.000 0.500
Tb: 0.334 0.666 0.500
Tb: 0.666 0.334 0.500
Nd: 0.500 0.500 0.000
Dy: 0.082 0.415 0.745
Dy: 0.252 0.252 0.255
Dy: 0.415 0.082 0.745
Dy: 0.585 0.918 0.255
Dy: 0.748 0.748 0.745
Dy: 0.918 0.585 0.255

Values from the calculation:
As for the symmetry: C2/m (12). The value obtained for the density of states at the Fermi level is 1.33 states/eV/atom. For the energy relative to the elements, the calculation gives 0.227 eV/f.u. Its total DFT energy (no corrections) is -4.658 eV per atom. The value obtained for the density is 7.9 g/cm3.

***

First-principles (PBE) data for crystalline La2TbNd5Dy at its relaxed geometry, as listed in Alexandria via LeMat-Bulk.

a = 10.632 Å, b = 10.632 Å, c = 10.857 Å
α = 90.00°, β = 90.00°, γ = 148.58°
Sites, in units of the cell vectors:
La: 0.114 0.886 0.500
La: 0.117 0.883 0.083
La: 0.883 0.117 0.583
La: 0.886 0.114 0.000
Tb: 0.201 0.799 0.775
Tb: 0.799 0.201 0.275
Nd: 0.016 0.984 0.786
Nd: 0.278 0.722 0.077
Nd: 0.296 0.704 0.469
Nd: 0.386 0.614 0.788
Nd: 0.482 0.518 0.508
Nd: 0.518 0.482 0.008
Nd: 0.614 0.386 0.288
Nd: 0.704 0.296 0.969
Nd: 0.722 0.278 0.577
Nd: 0.984 0.016 0.286
Dy: 0.408 0.592 0.228
Dy: 0.592 0.408 0.728

Values from the calculation:
As for the symmetry: Cmc2_1 (36). The value obtained for the density of states at the Fermi level is 1.43 states/eV/atom. For the energy relative to the elements, the calculation gives 1.115 eV/f.u. Its total DFT energy (no corrections) is -4.646 eV per atom. The value obtained for the density is 6.9 g/cm3.

***

First-principles (PBE) data for crystalline LaTb4NdDy2 at its relaxed geometry, as listed in Alexandria via LeMat-Bulk.

a = 7.200 Å, b = 7.201 Å, c = 10.148 Å
α = 90.00°, β = 90.06°, γ = 90.00°
Sites, in units of the cell vectors:
La: 0.000 0.000 0.000
La: 0.500 0.000 0.000
Tb: 0.248 0.253 0.253
Tb: 0.248 0.253 0.746
Tb: 0.248 0.747 0.253
Tb: 0.248 0.747 0.746
Tb: 0.752 0.253 0.254
Tb: 0.752 0.253 0.747
Tb: 0.752 0.747 0.254
Tb: 0.752 0.747 0.747
Nd: 0.500 0.000 0.500
Nd: 0.500 0.500 0.000
Dy: 0.000 0.000 0.500
Dy: 0.000 0.500 0.000
Dy: 0.000 0.500 0.500
Dy: 0.500 0.500 0.500

Values from the calculation:
As for the symmetry: P2/m (10). The value obtained for the density of states at the Fermi level is 1.35 states/eV/atom. For the energy relative to the elements, the calculation gives 0.146 eV/f.u. Its total DFT energy (no corrections) is -4.659 eV per atom. The value obtained for the density is 7.9 g/cm3.

***

First-principles (PBE) data for crystalline La6Tb2NdDy at its relaxed geometry, as listed in Alexandria via LeMat-Bulk.

a = 6.734 Å, b = 6.734 Å, c = 9.083 Å
α = 101.98°, β = 101.98°, γ = 63.70°
Sites, in units of the cell vectors:
La: 0.092 0.538 0.194
La: 0.135 0.135 0.429
La: 0.462 0.908 0.806
La: 0.538 0.092 0.194
La: 0.865 0.865 0.571
La: 0.908 0.462 0.806
Tb: 0.415 0.415 0.837
Tb: 0.585 0.585 0.163
Nd: 0.500 0.500 0.500
Dy: 0.000 0.000 0.000

Values from the calculation:
As for the symmetry: C2/m (12). The value obtained for the density of states at the Fermi level is 1.98 states/eV/atom. For the energy relative to the elements, the calculation gives 1.907 eV/f.u. Its total DFT energy (no corrections) is -4.629 eV per atom. The value obtained for the density is 6.8 g/cm3.